# Ba7BrClF12

Crystalline Ba7BrClF12 at its relaxed geometry (PBE-GGA, Alexandria via LeMat-Bulk).

It has space group P-6 (No. 174), with a = 10.8371 Å, b = 10.8371 Å, c = 4.2495 Å, α = 90.00°, β = 90.00° and γ = 120.00°. The distinct sites, in fractional coordinates, are Ba at (0.0000, 0.0000, 0.0000), Ba at (0.1079, 0.7140, 0.5000), Ba at (0.4125, 0.1072, 0.0000), Br at (0.3333, 0.6667, 0.0000), Cl at (0.6667, 0.3333, 0.5000), F at (0.0469, 0.4380, 0.5000), F at (0.1190, 0.2757, 0.0000), F at (0.2132, 0.1163, 0.5000) and F at (0.4289, 0.3627, 0.0000).

For the density, the calculation gives 5.01 Mg/m³. For the formation energy without anion corrections, the calculation gives -3.6607 eV/atom. The calculation puts the uncorrected energy at -5.54 eV/atom.